The following is a DFT calculation (PBE) of a relaxed structure of Na4Tl.

Results
ΔE_f   0.113 eV/atom
Calculated density   2.292 g cm⁻³
Raw total energy   -1.415 eV per atom
D(E_F)   0.662 states/eV per atom

a = 5.9875 Å, b = 5.9875 Å, c = 5.9875 Å
α = 90.00°, β = 90.00°, γ = 90.00°
Space group Pm-3m (No. 221)
Unique sites:
Na 0.0000 0.0000 0.0000 [1 per cell]
Na 0.0000 0.5000 0.5000 [3 per cell]
Tl 0.5000 0.5000 0.5000 [1 per cell]